Material: Nd3Sm2Er3
Method: DFT, PBE-GGA
State: optimized geometry

Computed properties:
E_form in eV per atom: 0.093
DFT total energy in eV/atom: -4.586
Energy above the most stable polymorph in this dataset in meV per atom: 74

Unit cell a=5.807 b=6.061 c=8.722 alpha=111.31 beta=109.44 gamma=90.00
Fractional positions:
Sm 0.750 0.683 0.500
Sm 0.250 0.317 0.500
Er 0.870 0.321 0.740
Nd 0.634 0.074 0.268
Nd 0.366 0.926 0.732
Nd 0.500 0.500 0.000
Er 0.000 0.000 0.000
Er 0.130 0.679 0.260

Material: Li4BrCl3
Method: DFT, PBE-GGA
State: optimized geometry

Computed properties:
Uncorrected formation energy in eV/atom: -1.75
DFT total energy in eV/atom: -3.604
Energy above the most stable polymorph in this dataset in meV per atom: 0

Unit cell a=6.302 b=7.049 c=8.151 alpha=90.00 beta=90.00 gamma=90.00
Fractional positions:
Li 0.495 0.161 0.000
Cl 0.018 0.179 0.500
Li 0.637 0.658 0.762
Cl 0.019 0.663 0.752
Cl 0.519 0.337 0.252
Br 0.053 0.163 0.000
Li 0.995 0.839 0.500
Cl 0.518 0.821 0.000
Li 0.636 0.189 0.500
Li 0.637 0.658 0.238
Cl 0.019 0.663 0.248
Li 0.136 0.811 0.000
Li 0.137 0.342 0.738
Li 0.137 0.342 0.262
Br 0.553 0.837 0.500
Cl 0.519 0.337 0.748

Material: ZrZnCoAg
Method: DFT, PBE-GGA
State: optimized geometry

Computed properties:
E_form in eV per atom: -0.025
DFT total energy in eV/atom: -4.969

Unit cell a=4.506 b=4.506 c=4.506 alpha=60.00 beta=60.00 gamma=60.00
Fractional positions:
Zr 0.000 0.000 0.000
Zn 0.500 0.500 0.500
Co 0.750 0.750 0.750
Ag 0.250 0.250 0.250

Please write out number 1 again, unchanged.
Material: Nd3Sm2Er3
Method: DFT, PBE-GGA
State: optimized geometry

Computed properties:
E_form in eV per atom: 0.093
DFT total energy in eV/atom: -4.586
Energy above the most stable polymorph in this dataset in meV per atom: 74

Unit cell a=5.807 b=6.061 c=8.722 alpha=111.31 beta=109.44 gamma=90.00
Fractional positions:
Sm 0.750 0.683 0.500
Sm 0.250 0.317 0.500
Er 0.870 0.321 0.740
Nd 0.634 0.074 0.268
Nd 0.366 0.926 0.732
Nd 0.500 0.500 0.000
Er 0.000 0.000 0.000
Er 0.130 0.679 0.260